Entry 1:
# LiTa2Al PBE-GGA relaxed
data_LiTa2Al
_chemical_formula_sum 'Li1 Ta2 Al1'
_space_group_name_H-M_alt 'P 1 2/m 1'
_space_group_IT_number 10
_cell_length_a 2.791
_cell_length_b 4.682
_cell_length_c 5.305
_cell_angle_alpha 90.00
_cell_angle_beta 104.11
_cell_angle_gamma 90.00
loop_
_space_group_symop_operation_xyz
'x,y,z'
'-x,-y,-z'
'-x,y,-z'
'x,-y,z'
loop_
_atom_site_label
_atom_site_type_symbol
_atom_site_fract_x
_atom_site_fract_y
_atom_site_fract_z
_atom_site_occupancy
Li1 Li 0.000 0.000 0.000 1
Ta1 Ta 0.217 0.500 0.755 1
Al1 Al 0.500 0.000 0.500 1
# Theoretical density (Mg/m³): 9.8
# Density of states at the Fermi level (states/eV/cell): 2.88
# Energy above the most stable polymorph in this dataset (kJ/mol of atoms): 10.7
# Energy of formation (eV/atom): 0.143
# Energy (eV/atom): -7.20

---

Entry 2:
# TaCoSn2 PBE-GGA relaxed
data_TaCoSn2
_chemical_formula_sum 'Ta4 Co4 Sn8'
_space_group_name_H-M_alt 'F -4 3 m'
_space_group_IT_number 216
_space_group_name_Hall 'F -4 2 3'
_cell_length_a 6.733
_cell_length_b 6.733
_cell_length_c 6.733
_cell_angle_alpha 90.00
_cell_angle_beta 90.00
_cell_angle_gamma 90.00
loop_
_atom_site_label
_atom_site_type_symbol
_atom_site_fract_x
_atom_site_fract_y
_atom_site_fract_z
_atom_site_occupancy
Ta1 Ta 0.000 0.000 0.000 1
Co1 Co 0.250 0.250 0.750 1
Sn1 Sn 0.000 0.000 0.500 1
Sn2 Sn 0.250 0.250 0.250 1
# Theoretical density (Mg/m³): 10.4
# Density of states at the Fermi level (states/eV/cell): 9.67
# Energy above the most stable polymorph in this dataset (kJ/mol of atoms): 14.3
# Energy of formation (eV/atom): 0.585
# Energy (eV/atom): -6.16

---

Entry 3:
# YTa2Cu4 PBE-GGA relaxed
data_YTa2Cu4
_chemical_formula_sum 'Y2 Ta4 Cu8'
_space_group_name_H-M_alt 'I 4/m m m'
_space_group_IT_number 139
_space_group_name_Hall '-I 4 2'
_cell_length_a 4.884
_cell_length_b 4.884
_cell_length_c 13.084
_cell_angle_alpha 90.00
_cell_angle_beta 90.00
_cell_angle_gamma 90.00
loop_
_atom_site_label
_atom_site_type_symbol
_atom_site_fract_x
_atom_site_fract_y
_atom_site_fract_z
_atom_site_occupancy
Y1 Y 0.000 0.000 0.000 1
Ta1 Ta 0.000 0.000 0.406 1
Cu1 Cu 0.000 0.000 0.208 1
Cu2 Cu 0.000 0.500 0.000 1
# Theoretical density (Mg/m³): 7.5
# Density of states at the Fermi level (states/eV/cell): 13.92
# Energy of formation (eV/atom): 1.099
# Energy (eV/atom): -5.55

---

Entry 4:
# LiAl2Ni PBE-GGA relaxed
data_LiAl2Ni
_chemical_formula_sum 'Li2 Al4 Ni2'
_space_group_name_H-M_alt 'C 1 m 1'
_space_group_IT_number 8
_cell_length_a 9.171
_cell_length_b 3.128
_cell_length_c 4.058
_cell_angle_alpha 90.00
_cell_angle_beta 115.47
_cell_angle_gamma 90.00
loop_
_space_group_symop_operation_xyz
'x,y,z'
'x,-y,z'
'x+1/2,y+1/2,z'
'x+1/2,-y+1/2,z'
loop_
_atom_site_label
_atom_site_type_symbol
_atom_site_fract_x
_atom_site_fract_y
_atom_site_fract_z
_atom_site_occupancy
Li1 Li 0.000 0.000 0.000 1
Al1 Al 0.029 0.500 0.531 1
Al2 Al 0.261 0.500 0.257 1
Ni1 Ni 0.261 0.000 0.756 1
# Theoretical density (Mg/m³): 3.8
# Density of states at the Fermi level (states/eV/cell): 1.88
# Energy of formation (eV/atom): -0.323
# Energy (eV/atom): -4.12